This record from the Alexandria database describes an optimized crystal structure of Rb3CoS. The functional is PBEsol.

Cell: 6.2701 6.2701 6.2701 Å, 90.00 90.00 90.00°
Sites, in units of the cell vectors:
Rb  0.0000  0.5000  0.0000
Rb  0.0000  0.0000  0.5000
Rb  0.5000  0.0000  0.0000
S  0.0000  0.0000  0.0000
Co  0.5000  0.5000  0.5000

Summary:
D(E_F) in states/eV/f.u.: 8.936
Calculated volume in Å³/cell: 247
Magnetization in μB per formula unit: 2.00
E_tot in eV per cell: -14.073
SG: No. 221
Formation energy from raw total energies in eV per atom: 0.225

***

This record from the Alexandria database describes an optimized crystal structure of Hf3AlTe. The functional is PBEsol.

Cell: 4.9216 4.9216 4.9216 Å, 90.00 90.00 90.00°
Sites, in units of the cell vectors:
Te  0.5000  0.5000  0.5000
Hf  0.0000  0.0000  0.5000
Hf  0.0000  0.5000  0.0000
Hf  0.5000  0.0000  0.0000
Al  0.0000  0.0000  0.0000

Summary:
D(E_F) in states/eV/f.u.: 4.532
Calculated volume in Å³/cell: 119
Magnetization in μB per formula unit: 0.00
E_tot in eV per cell: -35.815
SG: No. 221
Formation energy from raw total energies in eV per atom: 0.662

***

This record from the Alexandria database describes an optimized crystal structure of SiAgSb2. The functional is PBEsol.

Cell: 6.2235 6.2235 7.2817 Å, 115.30 115.30 90.00°
Sites, in units of the cell vectors:
Ag  0.0000  0.0000  0.0000
Ag  0.2500  0.7500  0.5000
Si  0.5000  0.5000  0.0000
Si  0.7500  0.2500  0.5000
Sb  0.1250  0.1354  0.7500
Sb  0.3854  0.8750  0.2500
Sb  0.8646  0.3750  0.2500
Sb  0.6250  0.6146  0.7500

Summary:
D(E_F) in states/eV/f.u.: 1.750
Calculated volume in Å³/cell: 225
Magnetization in μB per formula unit: 0.00
E_tot in eV per cell: -34.601
SG: No. 122
Formation energy from raw total energies in eV per atom: 0.218